Here is crystalline Er2Zn12CuNi3 at its relaxed geometry from Alexandria via LeMat-Bulk. Energies are from PBE.

The structure in POSCAR format:
```
Er2Zn12CuNi3
1.0
7.305 -0.754 -0.535
2.952 6.725 -0.535
2.952 1.718 6.524
Zn Er Cu Ni
12 2 1 3
direct
0.303 0.303 0.843
0.356 0.858 0.858
0.157 0.697 0.697
0.142 0.644 0.142
0.843 0.303 0.303
0.303 0.843 0.303
0.644 0.142 0.142
0.697 0.157 0.697
0.697 0.697 0.157
0.858 0.858 0.356
0.142 0.142 0.644
0.858 0.356 0.858
0.396 0.396 0.396
0.604 0.604 0.604
0.000 0.000 0.000
0.000 0.500 0.000
0.000 0.000 0.500
0.500 0.000 0.000
```

Computed properties:
Size of the total moment (μB per atom): 0.000
SG: R-3m, No. 166
Raw total energy (eV/cell): -42.013
Density (g/cm3): 6.43
Crystal system: trigonal
Formation energy (eV/atom): 0.213
D(E_F) (states/eV per cell): 8.58